No. 1
Here is NiOsBr4 after structural relaxation from Alexandria. Energies are from PBE.

Cell: 6.044 6.044 6.044 Å, 60.00 60.00 60.00°
Sites, in units of the cell vectors:
Ni1 0.000 0.000 0.000
Os1 0.750 0.750 0.750
Br1 0.376 0.376 0.376
Br2 0.376 0.376 0.873
Br3 0.376 0.873 0.376
Br4 0.873 0.376 0.376

D(E_F)	13.79	states/eV per cell
SG	F-43m, No. 216
crystal system	cubic
formation energy from raw total energies	1.9306	eV/atom
V	156	Å³ per cell
VASP energy	-2.020	eV per atom

=====

No. 2
Here is NiOsPd2Br after structural relaxation from Alexandria. Energies are from PBE.

Cell: 4.647 4.647 4.628 Å, 90.00 90.00 90.00°
Sites, in units of the cell vectors:
Ni1 0.000 0.000 0.000
Os1 0.500 0.500 0.000
Pd1 0.000 0.500 0.500
Pd2 0.500 0.000 0.500
Br1 0.500 0.500 0.500

D(E_F)	7.50	states/eV per cell
SG	P4/mmm, No. 123
crystal system	tetragonal
formation energy from raw total energies	1.6058	eV/atom
V	100	Å³ per cell
VASP energy	-4.208	eV per atom

=====

No. 3
Here is NiOsPdBr2 after structural relaxation from Alexandria. Energies are from PBE.

Cell: 4.984 4.984 4.863 Å, 90.00 90.00 90.00°
Sites, in units of the cell vectors:
Ni1 0.000 0.000 0.000
Os1 0.500 0.500 0.000
Pd1 0.000 0.000 0.500
Br1 0.000 0.500 0.500
Br2 0.500 0.000 0.500

D(E_F)	8.85	states/eV per cell
SG	P4/mmm, No. 123
crystal system	tetragonal
formation energy from raw total energies	1.6228	eV/atom
V	121	Å³ per cell
VASP energy	-3.487	eV per atom

=====

No. 4
Here is Pm8Ni3OsBr4 after structural relaxation from Alexandria. Energies are from PBE.

Cell: 9.049 9.049 9.049 Å, 53.22 53.22 53.22°
Sites, in units of the cell vectors:
Pm1 0.230 0.230 0.230
Pm2 0.233 0.732 0.732
Pm3 0.268 0.268 0.767
Pm4 0.268 0.767 0.268
Pm5 0.732 0.233 0.732
Pm6 0.732 0.732 0.233
Pm7 0.767 0.268 0.268
Pm8 0.770 0.770 0.770
Ni1 0.000 0.000 0.500
Ni2 0.000 0.500 0.000
Ni3 0.500 0.000 0.000
Os1 0.500 0.500 0.500
Br1 0.000 0.000 0.000
Br2 0.000 0.500 0.500
Br3 0.500 0.000 0.500
Br4 0.500 0.500 0.000

D(E_F)	9.21	states/eV per cell
SG	R-3m, No. 166
crystal system	trigonal
formation energy from raw total energies	-0.8064	eV/atom
V	441	Å³ per cell
VASP energy	-5.386	eV per atom

=====

No. 5
Here is Pm4NiOsBr2 after structural relaxation from Alexandria. Energies are from PBE.

Cell: 6.983 4.083 8.145 Å, 90.00 106.64 90.00°
Sites, in units of the cell vectors:
Pm1 0.229 0.000 0.199
Pm2 0.269 0.500 0.808
Pm3 0.731 0.500 0.192
Pm4 0.771 0.000 0.801
Ni1 0.500 0.000 0.000
Os1 0.000 0.500 0.000
Br1 0.000 0.000 0.500
Br2 0.500 0.500 0.500

D(E_F)	1.92	states/eV per cell
SG	P2/m, No. 10
crystal system	monoclinic
formation energy from raw total energies	-0.7793	eV/atom
V	222	Å³ per cell
VASP energy	-5.699	eV per atom

=====

No. 6
Here is Pr8NiOs3Br4 after structural relaxation from Alexandria. Energies are from PBE.

Cell: 9.248 9.248 9.248 Å, 53.13 53.13 53.13°
Sites, in units of the cell vectors:
Pr1 0.227 0.734 0.734
Pr2 0.234 0.234 0.234
Pr3 0.266 0.266 0.773
Pr4 0.266 0.773 0.266
Pr5 0.734 0.227 0.734
Pr6 0.734 0.734 0.227
Pr7 0.766 0.766 0.766
Pr8 0.773 0.266 0.266
Ni1 0.500 0.500 0.500
Os1 0.000 0.000 0.500
Os2 0.000 0.500 0.000
Os3 0.500 0.000 0.000
Br1 0.000 0.000 0.000
Br2 0.000 0.500 0.500
Br3 0.500 0.000 0.500
Br4 0.500 0.500 0.000

D(E_F)	6.43	states/eV per cell
SG	R-3m, No. 166
crystal system	trigonal
formation energy from raw total energies	-0.7000	eV/atom
V	469	Å³ per cell
VASP energy	-5.975	eV per atom

=====

No. 7
Here is Pr8Ni3OsBr4 after structural relaxation from Alexandria. Energies are from PBE.

Cell: 9.176 9.176 9.176 Å, 53.29 53.29 53.29°
Sites, in units of the cell vectors:
Pr1 0.230 0.230 0.230
Pr2 0.233 0.732 0.732
Pr3 0.268 0.268 0.767
Pr4 0.268 0.767 0.268
Pr5 0.732 0.233 0.732
Pr6 0.732 0.732 0.233
Pr7 0.767 0.268 0.268
Pr8 0.770 0.770 0.770
Ni1 0.000 0.000 0.500
Ni2 0.000 0.500 0.000
Ni3 0.500 0.000 0.000
Os1 0.500 0.500 0.500
Br1 0.000 0.000 0.000
Br2 0.000 0.500 0.500
Br3 0.500 0.000 0.500
Br4 0.500 0.500 0.000

D(E_F)	9.40	states/eV per cell
SG	R-3m, No. 166
crystal system	trigonal
formation energy from raw total energies	-0.7914	eV/atom
V	460	Å³ per cell
VASP energy	-5.385	eV per atom

=====

No. 8
Here is Rb2NiOsBr6 after structural relaxation from Alexandria. Energies are from PBE.

Cell: 7.351 7.351 7.351 Å, 119.77 119.77 90.39°
Sites, in units of the cell vectors:
Rb1 0.250 0.750 0.500
Rb2 0.750 0.250 0.500
Ni1 0.000 0.000 0.000
Os1 0.500 0.500 0.000
Br1 0.252 0.252 0.000
Br2 0.254 0.254 0.507
Br3 0.254 0.746 0.000
Br4 0.746 0.254 0.000
Br5 0.746 0.746 0.493
Br6 0.748 0.748 0.000

D(E_F)	15.72	states/eV per cell
SG	I4/mmm, No. 139
crystal system	tetragonal
formation energy from raw total energies	-0.5921	eV/atom
V	282	Å³ per cell
VASP energy	-3.490	eV per atom